[1]
Li3MgSi at its PBEsol-relaxed geometry. Source: the Alexandria database, functional SCAN.

Cell and atoms, written as POSCAR:
```
Li3MgSi
1.0
4.716 0.000 0.000
0.000 4.716 0.000
0.000 0.000 4.716
Si Mg Li
1 1 3
Direct
0.000 0.000 0.000
0.500 0.500 0.500
0.000 0.500 0.000
0.000 0.000 0.500
0.500 0.000 0.000
```



[2]
Li12Mg3Si4 at its PBEsol-relaxed geometry. Source: the Alexandria database, functional SCAN.

Cell and atoms, written as POSCAR:
```
Li12Mg3Si4
1.0
-0.369 7.479 -5.306
-8.124 -4.266 -0.157
2.000 2.455 8.614
Li Mg Si
24 6 8
Direct
0.468 0.582 0.312
0.032 0.344 0.114
0.730 0.918 0.386
0.770 0.156 0.188
0.344 0.614 0.532
0.582 0.812 0.968
0.156 0.688 0.270
0.918 0.886 0.230
0.688 0.770 0.656
0.886 0.730 0.418
0.614 0.032 0.844
0.812 0.468 0.082
0.532 0.114 0.344
0.968 0.312 0.582
0.270 0.188 0.156
0.230 0.386 0.918
0.656 0.270 0.688
0.418 0.230 0.886
0.844 0.532 0.614
0.082 0.968 0.812
0.312 0.082 0.468
0.114 0.844 0.032
0.386 0.418 0.730
0.188 0.656 0.770
0.875 0.125 0.750
0.625 0.375 0.250
0.375 0.750 0.125
0.125 0.250 0.375
0.250 0.875 0.625
0.750 0.625 0.875
0.500 0.907 0.500
0.000 0.500 0.407
0.593 0.593 0.093
0.907 0.000 0.000
0.500 0.407 0.500
0.000 0.500 0.907
0.407 0.000 0.000
0.093 0.093 0.593
```



[3]
Sr2LiMgSi3 at its PBEsol-relaxed geometry. Source: the Alexandria database, functional SCAN.

Cell and atoms, written as POSCAR:
```
Sr2LiMgSi3
1.0
-2.514 -1.294 -3.575
5.639 0.764 -4.243
3.712 -8.555 3.392
Sr Li Mg Si
4 2 2 6
Direct
0.445 0.750 0.889
0.555 0.250 0.111
0.654 0.737 0.308
0.346 0.237 0.692
0.809 0.951 0.617
0.191 0.451 0.383
0.189 0.058 0.379
0.811 0.558 0.621
0.279 0.755 0.557
0.721 0.255 0.443
0.946 0.417 0.893
0.053 0.582 0.106
0.947 0.082 0.894
0.054 0.917 0.107
```



[4]
SCAN LiMgSn, single point on PBEsol structure; E_form = -0.34 eV per atom
1.0
-2.783 -1.086 1.568
-0.189 -3.607 -2.833
4.487 -4.204 5.052
Mg Sn Li
2 2 2
Direct
0.500 0.000 0.617
0.000 0.500 0.383
0.500 0.000 0.251
0.000 0.500 0.749
0.000 0.000 0.961
0.500 0.500 0.039



[5]
SCAN LiMgSn3, single point on PBEsol structure; E_form = 0.20 eV per atom
1.0
4.988 0.000 0.000
0.000 4.988 0.000
0.000 0.000 4.988
Mg Sn Li
1 3 1
Direct
0.500 0.500 0.500
0.000 0.500 0.000
0.000 0.000 0.500
0.500 0.000 0.000
0.000 0.000 0.000



[6]
SCAN Li2MgSn2, single point on PBEsol structure; E_form = -0.27 eV per atom
1.0
-0.076 3.589 0.507
-2.535 0.960 -7.179
-7.241 -0.505 2.489
Mg Sn Li
2 4 4
Direct
0.000 0.000 0.000
0.000 0.500 0.500
0.000 0.366 0.866
0.000 0.866 0.634
0.000 0.634 0.134
0.000 0.134 0.366
0.500 0.166 0.666
0.500 0.666 0.834
0.500 0.834 0.334
0.500 0.334 0.166



[7]
SCAN LiMgTaSn2, single point on PBEsol structure; E_form = 0.43 eV per atom
1.0
5.302 0.000 0.000
0.000 5.302 0.000
0.000 0.000 5.417
Mg Li Sn Ta
1 1 2 1
Direct
0.000 0.000 0.500
0.500 0.500 0.500
0.000 0.500 0.000
0.500 0.000 0.000
0.000 0.000 0.000



[8]
SCAN Sr2LiMg, single point on PBEsol structure; E_form = -0.01 eV per atom
1.0
3.981 0.000 0.000
0.000 3.981 0.000
0.000 0.000 8.895
Sr Mg Li
2 1 1
Direct
0.000 0.000 0.948
0.500 0.500 0.299
0.500 0.500 0.698
0.000 0.000 0.556



The calculation returns the following uncorrected energy values, one per record and in order: -4.2925, -4.6463, -12.1502, -14.7696, -22.8238, -16.5923, -28.7314, -12.9842 eV/atom.